! KTbTe PBE relaxed; values from VASP
! Volume ... 35.56 Å³/atom
! Uncorrected energy ... -3.277 eV per atom
&SYSTEM
  ibrav = 0, nat = 3, ntyp = 3
/
ATOMIC_SPECIES
K 39.10 K.upf
Tb 158.93 Tb.upf
Te 127.60 Te.upf
CELL_PARAMETERS angstrom
-3.2280 -4.1285 0.9364
-5.0472 0.1311 -1.6880
-1.5459 -3.1345 -4.0157
ATOMIC_POSITIONS crystal
K 0.2500 0.2500 0.2500
Tb 0.7500 0.7500 0.7500
Te 0.0000 0.0000 0.0000

---

! NdAgSnS3 PBE relaxed; values from VASP
! Volume ... 23.66 Å³/atom
! Uncorrected energy ... -4.928 eV per atom
&SYSTEM
  ibrav = 0, nat = 12, ntyp = 4
/
ATOMIC_SPECIES
S 32.06 S.upf
Nd 144.24 Nd.upf
Sn 118.71 Sn.upf
Ag 107.87 Ag.upf
CELL_PARAMETERS angstrom
-4.1797 5.3843 -0.6503
0.4763 -6.8276 -0.2022
-2.2223 -0.4642 10.4396
ATOMIC_POSITIONS crystal
S 0.9044 0.0956 0.2500
S 0.0956 0.9044 0.7500
S 0.6442 0.3558 0.0642
S 0.3558 0.6442 0.5642
S 0.6442 0.3558 0.4358
S 0.3558 0.6442 0.9358
Nd 0.0000 0.0000 0.5000
Nd 0.0000 0.0000 0.0000
Sn 0.2439 0.7561 0.2500
Sn 0.7561 0.2439 0.7500
Ag 0.4723 0.5277 0.7500
Ag 0.5277 0.4723 0.2500

---

! InSb5Ir3 PBE relaxed; values from VASP
! Volume ... 24.57 Å³/atom
! Uncorrected energy ... -5.511 eV per atom
&SYSTEM
  ibrav = 0, nat = 9, ntyp = 3
/
ATOMIC_SPECIES
Ir 192.22 Ir.upf
Sb 121.76 Sb.upf
In 114.82 In.upf
CELL_PARAMETERS angstrom
-3.6849 -3.5763 2.3627
1.1724 -0.3853 -5.5162
5.9612 -5.0711 1.6212
ATOMIC_POSITIONS crystal
Ir 0.5000 0.0000 0.5000
Ir 0.0000 0.5000 0.5000
Ir 0.5000 0.5000 0.5000
Sb 0.0000 0.0000 0.5000
Sb 0.3333 0.6667 0.2220
Sb 0.3333 0.6667 0.7780
Sb 0.6667 0.3333 0.2220
Sb 0.6667 0.3333 0.7780
In 0.0000 0.0000 0.0000

---

! NaBiMo PBE relaxed; values from VASP
! Volume ... 26.88 Å³/atom
! Uncorrected energy ... -4.532 eV per atom
&SYSTEM
  ibrav = 0, nat = 3, ntyp = 3
/
ATOMIC_SPECIES
Bi 208.98 Bi.upf
Na 22.99 Na.upf
Mo 95.94 Mo.upf
CELL_PARAMETERS angstrom
-3.7159 -3.1069 0.2386
-2.0239 -1.0351 4.2836
-4.4527 1.6201 1.0327
ATOMIC_POSITIONS crystal
Bi 0.2500 0.2500 0.2500
Na 0.7500 0.7500 0.7500
Mo 0.0000 0.0000 0.0000

---

! NbGe2Au PBE relaxed; values from VASP
! Volume ... 18.08 Å³/atom
! Uncorrected energy ... -5.344 eV per atom
&SYSTEM
  ibrav = 0, nat = 4, ntyp = 3
/
ATOMIC_SPECIES
Au 196.97 Au.upf
Ge 72.64 Ge.upf
Nb 92.91 Nb.upf
CELL_PARAMETERS angstrom
0.0000 3.3070 3.3070
3.3070 0.0000 3.3070
3.3070 3.3070 0.0000
ATOMIC_POSITIONS crystal
Au 0.5000 0.5000 0.5000
Ge 0.0000 0.0000 0.0000
Ge 0.2500 0.2500 0.2500
Nb 0.7500 0.7500 0.7500

---

! YZr2Sn PBE relaxed; values from VASP
! Volume ... 24.00 Å³/atom
! Uncorrected energy ... -7.071 eV per atom
&SYSTEM
  ibrav = 0, nat = 4, ntyp = 3
/
ATOMIC_SPECIES
Sn 118.71 Sn.upf
Zr 91.22 Zr.upf
Y 88.91 Y.upf
CELL_PARAMETERS angstrom
0.0000 3.6345 3.6345
3.6345 0.0000 3.6345
3.6345 3.6345 0.0000
ATOMIC_POSITIONS crystal
Sn 0.5000 0.5000 0.5000
Zr 0.7500 0.7500 0.7500
Zr 0.0000 0.0000 0.0000
Y 0.2500 0.2500 0.2500

---

! AgI PBE relaxed; values from VASP
! Volume ... 35.87 Å³/atom
! Uncorrected energy ... -2.458 eV per atom
&SYSTEM
  ibrav = 0, nat = 10, ntyp = 2
/
ATOMIC_SPECIES
Ag 107.87 Ag.upf
I 126.90 I.upf
CELL_PARAMETERS angstrom
-3.5331 1.9057 2.3804
-0.7841 -3.6169 -2.8432
3.2176 -12.0095 14.3902
ATOMIC_POSITIONS crystal
Ag 0.6667 0.3333 0.2001
Ag 0.6667 0.3333 0.6003
Ag 0.0000 0.0000 0.4003
Ag 0.0000 0.0000 0.0001
Ag 0.3333 0.6667 0.8002
I 0.0000 0.0000 0.2498
I 0.6667 0.3333 0.0496
I 0.6667 0.3333 0.4499
I 0.3333 0.6667 0.6498
I 0.0000 0.0000 0.8498

---

! PmReAsO PBE relaxed; values from VASP
! Volume ... 16.49 Å³/atom
! Uncorrected energy ... -6.544 eV per atom
&SYSTEM
  ibrav = 0, nat = 8, ntyp = 4
/
ATOMIC_SPECIES
O 16.00 O.upf
As 74.92 As.upf
Re 186.21 Re.upf
Pm 145.00 Pm.upf
CELL_PARAMETERS angstrom
4.2675 0.0000 0.0000
0.0000 4.2675 0.0000
0.0000 0.0000 7.2433
ATOMIC_POSITIONS crystal
O 0.5000 0.5000 0.0000
O 0.0000 0.0000 0.0000
As 0.0000 0.5000 0.2184
As 0.5000 0.0000 0.7816
Re 0.0000 0.5000 0.8783
Re 0.5000 0.0000 0.1217
Pm 0.5000 0.5000 0.5000
Pm 0.0000 0.0000 0.5000

---

Which of these has the lowest uncorrected energy? YZr2Sn

---

Repeat the third record exactly.
! InSb5Ir3 PBE relaxed; values from VASP
! Volume ... 24.57 Å³/atom
! Uncorrected energy ... -5.511 eV per atom
&SYSTEM
  ibrav = 0, nat = 9, ntyp = 3
/
ATOMIC_SPECIES
Ir 192.22 Ir.upf
Sb 121.76 Sb.upf
In 114.82 In.upf
CELL_PARAMETERS angstrom
-3.6849 -3.5763 2.3627
1.1724 -0.3853 -5.5162
5.9612 -5.0711 1.6212
ATOMIC_POSITIONS crystal
Ir 0.5000 0.0000 0.5000
Ir 0.0000 0.5000 0.5000
Ir 0.5000 0.5000 0.5000
Sb 0.0000 0.0000 0.5000
Sb 0.3333 0.6667 0.2220
Sb 0.3333 0.6667 0.7780
Sb 0.6667 0.3333 0.2220
Sb 0.6667 0.3333 0.7780
In 0.0000 0.0000 0.0000

---

Please write out number 1 again, unchanged.
! KTbTe PBE relaxed; values from VASP
! Volume ... 35.56 Å³/atom
! Uncorrected energy ... -3.277 eV per atom
&SYSTEM
  ibrav = 0, nat = 3, ntyp = 3
/
ATOMIC_SPECIES
K 39.10 K.upf
Tb 158.93 Tb.upf
Te 127.60 Te.upf
CELL_PARAMETERS angstrom
-3.2280 -4.1285 0.9364
-5.0472 0.1311 -1.6880
-1.5459 -3.1345 -4.0157
ATOMIC_POSITIONS crystal
K 0.2500 0.2500 0.2500
Tb 0.7500 0.7500 0.7500
Te 0.0000 0.0000 0.0000